## YTlCu2 (PBE)

Data for YTlCu2 after structural relaxation.

Computed properties:
As for the space-group type: P2/m (10). The value obtained for the calculated volume is 85.2 Å³/f.u. Its calculated density is 8.19 g/cm3. Its energy of formation from the pure elements is -0.038 eV per atom.

a b c (Å): 4.2285 3.3989 5.9311
angles (deg): 88.11 90.00 90.00
Positions (direct):
Cu  0.0000  0.2380  0.9607
Cu  0.0000  0.2620  0.5393
Tl  0.5000  0.2500  0.2500
Y  0.5000  0.7500  0.7500